No. 1
DFT (PBE) results for an optimized crystal structure of GdInGaAg.

Structure (POSCAR):
```
GdInGaAg
1.0
-0.3760 -3.7185 3.3074
-0.5226 -4.7041 -1.5829
3.7515 -3.2465 0.5419
Ag Gd In Ga
1 1 1 1
direct
0.7500 0.7500 0.7500
0.5000 0.5000 0.5000
0.0000 0.0000 0.0000
0.2500 0.2500 0.2500
```

Results
Its calculated density is 8.495 Mg/m³. As for the energy of formation: -0.356 eV/atom. The space-group type is F-43m (216).

=====

No. 2
DFT (PBE) results for an optimized crystal structure of LaTe3O.

Structure (POSCAR):
```
LaTe3O
1.0
-3.3905 1.5508 4.9777
4.4976 -2.1331 3.7281
2.6369 5.6323 0.0414
Te O La
3 1 1
direct
0.5000 0.0000 0.0000
0.0000 0.5000 0.0000
0.0000 0.0000 0.5000
0.5000 0.5000 0.5000
0.0000 0.0000 0.0000
```

Results
The value obtained for the formation energy from raw total energies is 0.40 eV/atom. For the offset from the most stable computed form, the calculation gives 1176 meV per atom. Its calculated density is 3.712 Mg/m³. The space-group type is Pm-3m (221).

=====

No. 3
DFT (PBE) results for an optimized crystal structure of InSnIF4.

Structure (POSCAR):
```
InSnIF4
1.0
6.8679 0.2898 0.6783
2.5484 6.3842 0.6783
2.4408 1.7299 7.5905
F In Sn I
8 2 2 2
direct
0.5356 0.9274 0.8080
0.3751 0.3751 0.5499
0.9274 0.5356 0.8080
0.4843 0.4843 0.8230
0.0726 0.4644 0.1920
0.4644 0.0726 0.1920
0.6249 0.6249 0.4501
0.5157 0.5157 0.1770
0.6863 0.6863 0.6631
0.3137 0.3137 0.3369
0.2752 0.2752 0.8484
0.7248 0.7248 0.1516
0.9275 0.9275 0.3368
0.0725 0.0725 0.6632
```

Results
The value obtained for the formation energy from raw total energies is -1.93 eV/atom. Its calculated density is 4.645 Mg/m³. The space-group type is C2/m (12).

=====

No. 4
DFT (PBE) results for an optimized crystal structure of NpNi3N4.

Structure (POSCAR):
```
NpNi3N4
1.0
-1.9553 4.7427 -1.7195
-5.0368 -1.9389 0.3797
-0.2834 1.7380 5.1159
N Ni Np
8 6 2
direct
0.7500 0.7500 0.2500
0.7500 0.7500 0.7500
0.2500 0.7500 0.7500
0.2500 0.2500 0.2500
0.2500 0.7500 0.2500
0.2500 0.2500 0.7500
0.7500 0.2500 0.7500
0.7500 0.2500 0.2500
0.0000 0.5000 0.7500
0.0000 0.5000 0.2500
0.5000 0.2500 0.0000
0.2500 0.0000 0.5000
0.5000 0.7500 0.0000
0.7500 0.0000 0.5000
0.0000 0.0000 0.0000
0.5000 0.5000 0.5000
```

Results
The value obtained for the formation energy from raw total energies is -0.31 eV/atom. Its calculated density is 9.837 Mg/m³. The space-group type is Pm-3n (223).

=====

No. 5
DFT (PBE) results for an optimized crystal structure of Ba2Sn2Hg3.

Structure (POSCAR):
```
Ba2Sn2Hg3
1.0
-2.9982 3.8848 -1.3435
-2.6554 -5.9223 -1.5649
-1.8360 1.0725 7.1988
Sn Ba Hg
2 2 3
direct
0.1644 0.3289 0.2743
0.8356 0.6711 0.7257
0.1359 0.2717 0.7673
0.8641 0.7283 0.2327
0.6013 0.2026 0.4305
0.5000 0.0000 0.0000
0.3987 0.7974 0.5695
```

Results
Its calculated density is 8.161 Mg/m³. As for the energy of formation: -0.452 eV/atom. The space-group type is C2/m (12).

=====

No. 6
DFT (PBE) results for an optimized crystal structure of RbCdHgI2.

Structure (POSCAR):
```
RbCdHgI2
1.0
6.3338 0.0000 0.0000
0.0000 6.3338 0.0000
0.0000 0.0000 5.5646
Cd I Rb Hg
1 2 1 1
direct
0.0000 0.0000 0.0000
0.0000 0.5000 0.0000
0.5000 0.0000 0.0000
0.5000 0.5000 0.5000
0.0000 0.0000 0.5000
```

Results
The value obtained for the formation energy from raw total energies is -0.66 eV/atom. Its calculated density is 4.852 Mg/m³. The space-group type is P4/mmm (123).

=====

No. 7
DFT (PBE) results for an optimized crystal structure of SmZnInRh.

Structure (POSCAR):
```
SmZnInRh
1.0
4.8378 0.0000 0.0000
2.4189 4.1897 0.0000
2.4189 1.3966 3.9501
Zn In Rh Sm
1 1 1 1
direct
0.0000 0.0000 0.0000
0.2500 0.2500 0.2500
0.5000 0.5000 0.5000
0.7500 0.7500 0.7500
```

Results
Its calculated density is 8.991 Mg/m³. As for the energy of formation: -0.437 eV/atom. The space-group type is F-43m (216).

=====

No. 8
DFT (PBE) results for an optimized crystal structure of Cd2Pb3.

Structure (POSCAR):
```
Cd2Pb3
1.0
15.2590 0.3503 0.2046
14.8215 3.6446 0.2046
14.8215 1.9684 3.0742
Pb Cd
3 2
direct
0.0000 0.0000 0.0000
0.2038 0.2038 0.2038
0.7962 0.7962 0.7962
0.3995 0.3995 0.3995
0.6005 0.6005 0.6005
```

Results
For the offset from the most stable computed form, the calculation gives 0 meV per atom. Its calculated density is 9.704 Mg/m³. As for the energy of formation: 0.041 eV/atom. The space-group type is R-3m (166).

=====

No. 9
DFT (PBE) results for an optimized crystal structure of NdHo3Ir8.

Structure (POSCAR):
```
NdHo3Ir8
1.0
5.3745 0.0000 0.0000
2.6873 4.6545 0.0000
2.6873 1.5515 8.7700
Ho Ir Nd
3 8 1
direct
0.4993 0.4993 0.5021
0.3747 0.3747 0.8758
0.0006 0.0006 0.9983
0.9390 0.4382 0.1847
0.1874 0.1874 0.4378
0.4356 0.9372 0.6900
0.9372 0.4356 0.6900
0.9372 0.9372 0.6900
0.4382 0.4382 0.1847
0.6876 0.6876 0.9373
0.4382 0.9390 0.1847
0.8752 0.8752 0.3744
```

Results
For the offset from the most stable computed form, the calculation gives 0 meV per atom. Its calculated density is 16.476 Mg/m³. As for the energy of formation: -0.785 eV/atom. The space-group type is R3m (160).

=====

No. 10
DFT (PBE) results for an optimized crystal structure of Ca2MgCdH.

Structure (POSCAR):
```
Ca2MgCdH
1.0
5.0201 0.0000 0.0000
0.0000 5.0201 0.0000
0.0000 0.0000 4.5596
Ca Mg H Cd
2 1 1 1
direct
0.5000 0.0000 0.0000
0.0000 0.5000 0.0000
0.5000 0.5000 0.5000
0.0000 0.0000 0.0000
0.0000 0.0000 0.5000
```

Results
For the offset from the most stable computed form, the calculation gives 72 meV per atom. Its calculated density is 3.149 Mg/m³. The space-group type is P4/mmm (123).

=====

No. 11
DFT (PBE) results for an optimized crystal structure of MnCd2Re.

Structure (POSCAR):
```
MnCd2Re
1.0
4.9101 -0.0045 -0.0165
4.0797 2.7322 -0.0165
0.9851 0.2989 5.1300
Cd Mn Re
2 1 1
direct
0.7582 0.7582 0.7526
0.9932 0.9932 0.0017
0.5159 0.5159 0.4615
0.2326 0.2326 0.2843
```

Results
For the offset from the most stable computed form, the calculation gives 269 meV per atom. Its calculated density is 11.220 Mg/m³. As for the energy of formation: 0.510 eV/atom. The space-group type is Cm (8).

=====

No. 12
DFT (PBE) results for an optimized crystal structure of LiH6BrN2.

Structure (POSCAR):
```
LiH6BrN2
1.0
-1.4365 -1.3968 6.9017
5.5294 -4.2317 -1.7795
3.5652 4.9769 1.2355
Li N H Br
2 4 12 2
direct
0.6063 0.3937 0.7500
0.3937 0.6063 0.2500
0.8794 0.5853 0.7509
0.4147 0.1206 0.7491
0.5853 0.8794 0.2509
0.1206 0.4147 0.2491
0.9826 0.4293 0.2207
0.5707 0.0174 0.2793
0.8780 0.7093 0.8422
0.1220 0.2907 0.1578
0.7093 0.8780 0.3422
0.2907 0.1220 0.6578
0.6114 0.8638 0.0923
0.8638 0.6114 0.5923
0.0174 0.5707 0.7793
0.4293 0.9826 0.7207
0.3886 0.1362 0.9077
0.1362 0.3886 0.4077
0.3848 0.6152 0.7500
0.6152 0.3848 0.2500
```

Results
Its calculated density is 1.307 Mg/m³. The uncorrected energy is -4.650 eV/atom. The space-group type is C2/c (15).

=====

No. 13
DFT (PBE) results for an optimized crystal structure of Tc5Cl4.

Structure (POSCAR):
```
Tc5Cl4
1.0
-5.1096 5.1096 1.4512
5.1096 -5.1096 1.4512
5.1096 5.1096 -1.4512
Tc Cl
5 4
direct
0.6492 0.6492 0.2984
0.0000 0.0000 0.0000
0.3508 0.3508 0.7016
0.6492 0.3508 0.0000
0.3508 0.6492 0.0000
0.0000 0.2939 0.2939
0.7061 0.0000 0.7061
0.2939 0.0000 0.2939
0.0000 0.7061 0.7061
```

Results
The value obtained for the formation energy from raw total energies is 0.47 eV/atom. Its calculated density is 6.923 Mg/m³. The space-group type is I4/mmm (139).

=====

No. 14
DFT (PBE) results for an optimized crystal structure of BeCrNi2.

Structure (POSCAR):
```
BeCrNi2
1.0
4.2677 -0.0005 0.0330
3.5511 2.3672 0.0330
0.7507 0.2272 4.1411
Be Ni Cr
1 2 1
direct
0.4947 0.4947 0.5335
0.7563 0.7563 0.7171
0.0012 0.0012 0.0220
0.2478 0.2478 0.2273
```

Results
Its calculated density is 7.091 Mg/m³. As for the energy of formation: -0.055 eV/atom. The space-group type is Cm (8).

=====

No. 15
DFT (PBE) results for an optimized crystal structure of La5Bi2Rh.

Structure (POSCAR):
```
La5Bi2Rh
1.0
-1.0834 2.0486 -8.1673
-2.6897 -8.7770 -1.8448
-12.4076 3.2833 2.4694
Bi La Rh
8 20 4
direct
0.5786 0.0074 0.1743
0.0786 0.5074 0.3257
0.9214 0.0074 0.6743
0.4214 0.5074 0.8257
0.4214 0.9926 0.8257
0.0786 0.9926 0.3257
0.9214 0.4926 0.6743
0.5786 0.4926 0.1743
0.8134 0.0406 0.9368
0.8134 0.4594 0.9368
0.9552 0.7500 0.4969
0.6866 0.0406 0.4368
0.3134 0.9594 0.5632
0.3134 0.5406 0.5632
0.1866 0.5406 0.0632
0.3796 0.7500 0.3047
0.0448 0.2500 0.5031
0.8796 0.2500 0.1953
0.4552 0.2500 0.0031
0.1477 0.2500 0.7990
0.6204 0.2500 0.6953
0.8523 0.7500 0.2010
0.1204 0.7500 0.8047
0.5448 0.7500 0.9969
0.1866 0.9594 0.0632
0.6477 0.7500 0.7010
0.6866 0.4594 0.4368
0.3523 0.2500 0.2990
0.0721 0.2500 0.0124
0.9279 0.7500 0.9876
0.5721 0.7500 0.4876
0.4279 0.2500 0.5124
```

Results
For the offset from the most stable computed form, the calculation gives 0 meV per atom. Its calculated density is 7.770 Mg/m³. As for the energy of formation: -0.792 eV/atom. The space-group type is Pnma (62).

=====

No. 16
DFT (PBE) results for an optimized crystal structure of TaOs3.

Structure (POSCAR):
```
TaOs3
1.0
-0.0649 -0.5924 3.8717
-0.1966 -3.8669 -0.5950
8.0336 1.8172 -1.5689
Os Ta
6 2
direct
0.8728 0.8728 0.7457
0.2500 0.7500 0.5000
0.1272 0.1272 0.2543
0.7500 0.2500 0.5000
0.0000 0.5000 0.0000
0.5000 0.0000 0.0000
0.3788 0.3788 0.7576
0.6212 0.6212 0.2424
```

Results
Its calculated density is 20.555 Mg/m³. As for the energy of formation: -0.130 eV/atom. The space-group type is I4/mmm (139).

=====

No. 17
DFT (PBE) results for an optimized crystal structure of PrNd2Er4Tm.

Structure (POSCAR):
```
PrNd2Er4Tm
1.0
9.3502 -0.0144 -1.7444
-0.0210 9.3503 -1.7443
-5.9591 -5.9634 8.3192
Er Nd Pr Tm
8 4 2 2
direct
0.7564 0.2435 0.9997
0.7502 0.7502 0.9942
0.2498 0.2498 0.0058
0.2502 0.2503 0.4943
0.7435 0.2564 0.4997
0.7498 0.7497 0.5057
0.2565 0.7436 0.5003
0.2436 0.7565 0.0003
0.0000 0.0000 0.5000
0.5000 0.5000 0.0000
0.5000 0.0000 0.0000
0.5000 0.0000 0.5000
0.0000 0.5000 0.5000
0.0000 0.5000 0.0000
0.0000 0.0000 0.0000
0.5000 0.5000 0.5000
```

Results
Its calculated density is 7.904 Mg/m³. As for the energy of formation: 0.415 eV/atom. The space-group type is Imma (74).

=====

No. 18
DFT (PBE) results for an optimized crystal structure of ZnSiP2O.

Structure (POSCAR):
```
ZnSiP2O
1.0
-4.5101 -1.6415 -0.1908
0.2773 -0.2049 -4.7910
1.1042 -3.0564 0.1946
P O Zn Si
2 1 1 1
direct
0.0000 0.5000 0.0000
0.5000 0.0000 0.0000
0.0000 0.0000 0.5000
0.5000 0.5000 0.5000
0.0000 0.0000 0.0000
```

Results
The value obtained for the formation energy from raw total energies is -0.16 eV/atom. For the offset from the most stable computed form, the calculation gives 0 meV per atom. Its calculated density is 3.790 Mg/m³. The space-group type is P4/mmm (123).

=====

No. 19
DFT (PBE) results for an optimized crystal structure of CsNa2CrS4.

Structure (POSCAR):
```
CsNa2CrS4
1.0
-3.9271 5.0314 -2.1389
0.8495 -3.0917 -5.9187
-2.5776 -3.8044 4.9187
S Cr Na Cs
4 1 2 1
direct
0.9678 0.3112 0.0000
0.0322 0.0322 0.3435
0.6888 0.6888 0.6565
0.3112 0.9678 0.0000
0.0000 0.0000 0.0000
0.7500 0.2500 0.5000
0.2500 0.7500 0.5000
0.5000 0.5000 0.0000
```

Results
The value obtained for the formation energy from raw total energies is -0.89 eV/atom. Its calculated density is 2.617 Mg/m³. The space-group type is I-42m (121).

=====

No. 20
DFT (PBE) results for an optimized crystal structure of KNdTiO4.

Structure (POSCAR):
```
KNdTiO4
1.0
-4.8097 0.0272 -2.5271
-2.3378 -2.2644 4.4249
-2.5252 12.2566 4.9381
O Nd Ti K
16 4 4 4
direct
0.2500 0.4809 0.3836
0.7500 0.5191 0.6164
0.5000 0.2500 0.2137
0.7500 0.4517 0.9339
0.0000 0.2500 0.2137
0.5000 0.7500 0.7863
0.5000 0.7500 0.2296
0.5000 0.2500 0.7704
0.0000 0.2500 0.7704
0.0000 0.7500 0.2296
0.2500 0.9809 0.6164
0.7500 0.0191 0.3836
0.2500 0.5483 0.0661
0.0000 0.7500 0.7863
0.7500 0.9517 0.0661
0.2500 0.0483 0.9339
0.7500 0.5166 0.1035
0.2500 0.4834 0.8965
0.2500 0.9834 0.1035
0.7500 0.0166 0.8965
0.7500 0.0043 0.2528
0.2500 0.4957 0.2528
0.7500 0.5043 0.7472
0.2500 0.9957 0.7472
0.7500 0.5119 0.4057
0.2500 0.4881 0.5943
0.7500 0.0119 0.5943
0.2500 0.9881 0.4057
```

Results
The value obtained for the formation energy from raw total energies is -2.96 eV/atom. For the offset from the most stable computed form, the calculation gives 0 meV per atom. Its calculated density is 4.884 Mg/m³. The space-group type is Pbcm (57).

=====

No. 21
DFT (PBE) results for an optimized crystal structure of Ca2Ac2LaNd.

Structure (POSCAR):
```
Ca2Ac2LaNd
1.0
-3.6050 1.2583 -0.4345
0.7548 -2.1706 -12.5486
-3.9551 -10.7700 1.6250
Ca Ac La Nd
4 4 2 2
direct
0.5000 0.9184 0.7367
0.5000 0.0816 0.2633
0.0000 0.5816 0.2367
0.0000 0.4184 0.7633
0.5000 0.2169 0.5857
0.0000 0.7169 0.9143
0.0000 0.2831 0.0857
0.5000 0.7831 0.4143
0.5000 0.5000 0.5000
0.0000 0.0000 0.0000
0.5000 0.5000 0.0000
0.0000 0.0000 0.5000
```

Results
Its calculated density is 4.778 Mg/m³. As for the energy of formation: 0.453 eV/atom. The space-group type is Pnnm (58).

=====

No. 22
DFT (PBE) results for an optimized crystal structure of PdSO2F.

Structure (POSCAR):
```
PdSO2F
1.0
-4.1797 0.0880 -0.5799
-0.2987 -3.3464 1.6452
-0.4801 1.8845 3.7460
S O F Pd
1 2 1 1
direct
0.0000 0.5000 0.0000
0.5000 0.0000 0.0000
0.0000 0.0000 0.5000
0.0000 0.0000 0.0000
0.5000 0.5000 0.5000
```

Results
The value obtained for the formation energy from raw total energies is 1.08 eV/atom. Its calculated density is 4.722 Mg/m³. The space-group type is P4/mmm (123).